a | The following is a DFT calculation (PBE) of an optimized crystal structure of CsZnH3.

magnetization = 0.00 μB/f.u.

Cell lengths 4.1037, 4.1037, 4.1037 Å; angles 90.00, 90.00, 90.00 degrees
Atoms (fractional coordinates):
Cs 0.0000 0.0000 0.0000
Zn 0.5000 0.5000 0.5000
H 0.0000 0.5000 0.5000
H 0.5000 0.0000 0.5000
H 0.5000 0.5000 0.0000

b | The following is a DFT calculation (PBE) of an optimized crystal structure of CsZnH3.

magnetization = 0.00 μB/f.u.

Cell lengths 6.7907, 5.4963, 11.9330 Å; angles 90.00, 115.64, 90.00 degrees
Atoms (fractional coordinates):
Cs 0.2224 0.2438 0.1804
Cs 0.2224 0.2562 0.6804
Cs 0.7776 0.7438 0.3196
Cs 0.7776 0.7562 0.8196
Zn 0.3667 0.6770 0.9677
Zn 0.3667 0.8230 0.4677
Zn 0.6333 0.1770 0.5323
Zn 0.6333 0.3230 0.0323
H 0.2663 0.7388 0.5621
H 0.2663 0.7612 0.0621
H 0.2696 0.7302 0.3253
H 0.2696 0.7698 0.8253
H 0.3502 0.1523 0.4617
H 0.3502 0.3477 0.9617
H 0.6498 0.6523 0.0383
H 0.6498 0.8477 0.5383
H 0.7304 0.2302 0.1747
H 0.7304 0.2698 0.6747
H 0.7337 0.2388 0.9379
H 0.7337 0.2612 0.4379

Stability ranking, top and bottom: b is the most stable and a is the least stable.

a | The following is a DFT calculation (PBE) of an optimized crystal structure of CsZn2H.

magnetization = 0.00 μB/f.u.

Cell lengths 6.5944, 6.5944, 9.3443 Å; angles 90.00, 90.00, 90.00 degrees
Atoms (fractional coordinates):
Cs 0.0000 0.2500 0.3750
Cs 0.0000 0.7500 0.6250
Cs 0.5000 0.2500 0.1250
Cs 0.5000 0.7500 0.8750
Zn 0.0000 0.0000 0.0000
Zn 0.0000 0.5000 0.0000
Zn 0.2500 0.2500 0.7500
Zn 0.2500 0.7500 0.2500
Zn 0.5000 0.0000 0.5000
Zn 0.5000 0.5000 0.5000
Zn 0.7500 0.2500 0.7500
Zn 0.7500 0.7500 0.2500
H 0.0000 0.2500 0.8750
H 0.0000 0.7500 0.1250
H 0.5000 0.2500 0.6250
H 0.5000 0.7500 0.3750

b | The following is a DFT calculation (PBE) of an optimized crystal structure of CsZn2H.

magnetization = 0.00 μB/f.u.

Cell lengths 8.0997, 8.0997, 8.0997 Å; angles 90.00, 90.00, 90.00 degrees
Atoms (fractional coordinates):
Cs 0.0000 0.0000 0.0000
Cs 0.0000 0.5000 0.5000
Cs 0.5000 0.0000 0.5000
Cs 0.5000 0.5000 0.0000
Zn 0.2500 0.2500 0.2500
Zn 0.2500 0.2500 0.7500
Zn 0.2500 0.7500 0.2500
Zn 0.2500 0.7500 0.7500
Zn 0.7500 0.2500 0.2500
Zn 0.7500 0.2500 0.7500
Zn 0.7500 0.7500 0.2500
Zn 0.7500 0.7500 0.7500
H 0.0000 0.0000 0.5000
H 0.0000 0.5000 0.0000
H 0.5000 0.0000 0.0000
H 0.5000 0.5000 0.5000

Stability ranking, top and bottom: a is the most stable and b is the least stable.

a | The following is a DFT calculation (PBE) of an optimized crystal structure of CsHf3Hg.

magnetization = 0.00 μB/f.u.

Cell lengths 5.4292, 5.4292, 5.4292 Å; angles 90.00, 90.00, 90.00 degrees
Atoms (fractional coordinates):
Cs 0.0000 0.0000 0.0000
Hf 0.0000 0.5000 0.5000
Hf 0.5000 0.0000 0.5000
Hf 0.5000 0.5000 0.0000
Hg 0.5000 0.5000 0.5000

b | The following is a DFT calculation (PBE) of an optimized crystal structure of CsHf3Hg.

magnetization = 0.01 μB/f.u.

Cell lengths 5.2492, 5.2492, 5.2492 Å; angles 90.00, 90.00, 90.00 degrees
Atoms (fractional coordinates):
Cs 0.0000 0.0000 0.0000
Hf 0.0000 0.0000 0.5000
Hf 0.0000 0.5000 0.0000
Hf 0.5000 0.0000 0.0000
Hg 0.5000 0.5000 0.5000

Stability ranking, top and bottom: a is the most stable and b is the least stable.

a | The following is a DFT calculation (PBE) of an optimized crystal structure of Cs2HfI.

magnetization = 3.00 μB/f.u.

Cell lengths 10.5488, 10.5488, 7.7744 Å; angles 90.00, 90.00, 90.00 degrees
Atoms (fractional coordinates):
Cs 0.2270 0.2500 0.1250
Cs 0.2500 0.7270 0.3750
Cs 0.2500 0.7730 0.8750
Cs 0.2730 0.2500 0.6250
Cs 0.7270 0.7500 0.6250
Cs 0.7500 0.2270 0.8750
Cs 0.7500 0.2730 0.3750
Cs 0.7730 0.7500 0.1250
Hf 0.0000 0.0000 0.5000
Hf 0.0000 0.5000 0.7500
Hf 0.5000 0.0000 0.2500
Hf 0.5000 0.5000 0.0000
I 0.0000 0.0000 0.0000
I 0.0000 0.5000 0.2500
I 0.5000 0.0000 0.7500
I 0.5000 0.5000 0.5000

b | The following is a DFT calculation (PBE) of an optimized crystal structure of Cs2HfI.

magnetization = 3.00 μB/f.u.

Cell lengths 9.5277, 9.5277, 9.5277 Å; angles 90.00, 90.00, 90.00 degrees
Atoms (fractional coordinates):
Cs 0.2500 0.2500 0.2500
Cs 0.2500 0.2500 0.7500
Cs 0.2500 0.7500 0.2500
Cs 0.2500 0.7500 0.7500
Cs 0.7500 0.2500 0.2500
Cs 0.7500 0.2500 0.7500
Cs 0.7500 0.7500 0.2500
Cs 0.7500 0.7500 0.7500
Hf 0.0000 0.0000 0.0000
Hf 0.0000 0.5000 0.5000
Hf 0.5000 0.0000 0.5000
Hf 0.5000 0.5000 0.0000
I 0.0000 0.0000 0.5000
I 0.0000 0.5000 0.0000
I 0.5000 0.0000 0.0000
I 0.5000 0.5000 0.5000

Stability ranking, top and bottom: b is the most stable and a is the least stable.

a | The following is a DFT calculation (PBE) of an optimized crystal structure of Cs2LiHfI6.

magnetization = 1.00 μB/f.u.

Cell lengths 8.3856, 8.3856, 8.3856 Å; angles 120.06, 120.06, 89.90 degrees
Atoms (fractional coordinates):
Cs 0.2500 0.7500 0.5000
Cs 0.7500 0.2500 0.5000
Li 0.0000 0.0000 0.0000
Hf 0.5000 0.5000 0.0000
I 0.2553 0.2553 0.0000
I 0.2550 0.2550 0.5099
I 0.2550 0.7450 0.0000
I 0.7450 0.2550 0.0000
I 0.7447 0.7447 0.0000
I 0.7450 0.7450 0.4901

b | The following is a DFT calculation (PBE) of an optimized crystal structure of Cs2LiHfI6.

magnetization = 1.00 μB/f.u.

Cell lengths 14.7568, 14.7568, 14.7568 Å; angles 33.13, 33.13, 33.13 degrees
Atoms (fractional coordinates):
Cs 0.1233 0.1233 0.1233
Cs 0.2958 0.2958 0.2958
Cs 0.7042 0.7042 0.7042
Cs 0.8767 0.8767 0.8767
Li 0.4208 0.4208 0.4208
Li 0.5792 0.5792 0.5792
Hf 0.0000 0.0000 0.0000
Hf 0.5000 0.5000 0.5000
I 0.1336 0.6228 0.6228
I 0.2028 0.2028 0.7150
I 0.2028 0.7150 0.2028
I 0.2850 0.7972 0.7972
I 0.3772 0.3772 0.8664
I 0.3772 0.8664 0.3772
I 0.6228 0.1336 0.6228
I 0.6228 0.6228 0.1336
I 0.7150 0.2028 0.2028
I 0.7972 0.2850 0.7972
I 0.7972 0.7972 0.2850
I 0.8664 0.3772 0.3772

Stability ranking, top and bottom: b is the most stable and a is the least stable.

a | The following is a DFT calculation (PBE) of an optimized crystal structure of CsHfIN2.

magnetization = 0.26 μB/f.u.

Cell lengths 4.4661, 4.4661, 6.4446 Å; angles 90.00, 90.00, 90.00 degrees
Atoms (fractional coordinates):
Cs 0.0000 0.0000 0.0000
Hf 0.5000 0.5000 0.5000
I 0.0000 0.0000 0.5000
N 0.0000 0.5000 0.0000
N 0.5000 0.0000 0.0000

b | The following is a DFT calculation (PBE) of an optimized crystal structure of CsHfIN2.

magnetization = 0.00 μB/f.u.

Cell lengths 4.5087, 4.5087, 5.9658 Å; angles 90.00, 90.00, 90.00 degrees
Atoms (fractional coordinates):
Cs 0.0000 0.0000 0.0000
Hf 0.5000 0.5000 0.5000
I 0.5000 0.5000 0.0000
N 0.0000 0.5000 0.5000
N 0.5000 0.0000 0.5000

Stability ranking, top and bottom: b is the most stable and a is the least stable.

a | The following is a DFT calculation (PBE) of an optimized crystal structure of CsHfIO2.

magnetization = 1.51 μB/f.u.

Cell lengths 4.4037, 4.4037, 7.1059 Å; angles 90.00, 90.00, 90.00 degrees
Atoms (fractional coordinates):
Cs 0.0000 0.0000 0.0000
Hf 0.5000 0.5000 0.5000
I 0.0000 0.0000 0.5000
O 0.0000 0.5000 0.0000
O 0.5000 0.0000 0.0000

b | The following is a DFT calculation (PBE) of an optimized crystal structure of CsHfIO2.

magnetization = 0.00 μB/f.u.

Cell lengths 4.4374, 4.4374, 5.8315 Å; angles 90.00, 90.00, 90.00 degrees
Atoms (fractional coordinates):
Cs 0.0000 0.0000 0.0000
Hf 0.5000 0.5000 0.5000
I 0.5000 0.5000 0.0000
O 0.0000 0.5000 0.5000
O 0.5000 0.0000 0.5000

Stability ranking, top and bottom: b is the most stable and a is the least stable.

a | The following is a DFT calculation (PBE) of an optimized crystal structure of CsHfSb2I.

magnetization = 0.00 μB/f.u.

Cell lengths 5.5368, 5.5368, 6.3255 Å; angles 90.00, 90.00, 90.00 degrees
Atoms (fractional coordinates):
Cs 0.0000 0.0000 0.0000
Hf 0.5000 0.5000 0.5000
Sb 0.0000 0.5000 0.5000
Sb 0.5000 0.0000 0.5000
I 0.5000 0.5000 0.0000

b | The following is a DFT calculation (PBE) of an optimized crystal structure of CsHfSb2I.

magnetization = 0.51 μB/f.u.

Cell lengths 6.0879, 6.0879, 6.3750 Å; angles 90.00, 90.00, 90.00 degrees
Atoms (fractional coordinates):
Cs 0.0000 0.0000 0.0000
Hf 0.5000 0.5000 0.5000
Sb 0.0000 0.5000 0.0000
Sb 0.5000 0.0000 0.0000
I 0.0000 0.0000 0.5000

Stability ranking, top and bottom: a is the most stable and b is the least stable.

a | The following is a DFT calculation (PBE) of an optimized crystal structure of CsHfIn.

magnetization = 0.00 μB/f.u.

Cell lengths 12.3366, 3.3467, 10.5670 Å; angles 90.00, 90.00, 90.00 degrees
Atoms (fractional coordinates):
Cs 0.1451 0.2500 0.0710
Cs 0.3549 0.7500 0.5710
Cs 0.6451 0.2500 0.4290
Cs 0.8549 0.7500 0.9290
Hf 0.0670 0.2500 0.4214
Hf 0.4330 0.7500 0.9214
Hf 0.5670 0.2500 0.0786
Hf 0.9330 0.7500 0.5786
In 0.1076 0.2500 0.7139
In 0.3924 0.7500 0.2139
In 0.6076 0.2500 0.7861
In 0.8924 0.7500 0.2861

b | The following is a DFT calculation (PBE) of an optimized crystal structure of CsHfIn.

magnetization = 0.00 μB/f.u.

Cell lengths 9.9746, 5.0158, 8.6067 Å; angles 90.00, 90.00, 90.00 degrees
Atoms (fractional coordinates):
Cs 0.0628 0.2500 0.1292
Cs 0.4372 0.7500 0.6292
Cs 0.5628 0.2500 0.3708
Cs 0.9372 0.7500 0.8708
Hf 0.0892 0.7500 0.4627
Hf 0.4108 0.2500 0.9627
Hf 0.5892 0.7500 0.0373
Hf 0.9108 0.2500 0.5373
In 0.1735 0.2500 0.6742
In 0.3265 0.7500 0.1742
In 0.6735 0.2500 0.8258
In 0.8265 0.7500 0.3258

Stability ranking, top and bottom: a is the most stable and b is the least stable.

a | The following is a DFT calculation (PBE) of an optimized crystal structure of CsHfIr2.

magnetization = 0.00 μB/f.u.

Cell lengths 6.9411, 6.9411, 6.9411 Å; angles 90.00, 90.00, 90.00 degrees
Atoms (fractional coordinates):
Cs 0.0000 0.0000 0.0000
Cs 0.0000 0.5000 0.5000
Cs 0.5000 0.0000 0.5000
Cs 0.5000 0.5000 0.0000
Hf 0.0000 0.0000 0.5000
Hf 0.0000 0.5000 0.0000
Hf 0.5000 0.0000 0.0000
Hf 0.5000 0.5000 0.5000
Ir 0.2500 0.2500 0.2500
Ir 0.2500 0.2500 0.7500
Ir 0.2500 0.7500 0.2500
Ir 0.2500 0.7500 0.7500
Ir 0.7500 0.2500 0.2500
Ir 0.7500 0.2500 0.7500
Ir 0.7500 0.7500 0.2500
Ir 0.7500 0.7500 0.7500

b | The following is a DFT calculation (PBE) of an optimized crystal structure of CsHfIr2.

magnetization = 0.00 μB/f.u.

Cell lengths 7.7277, 7.7277, 6.2830 Å; angles 90.00, 90.00, 90.00 degrees
Atoms (fractional coordinates):
Cs 0.0000 0.0000 0.0000
Cs 0.0000 0.5000 0.2500
Cs 0.5000 0.0000 0.7500
Cs 0.5000 0.5000 0.5000
Hf 0.0000 0.0000 0.5000
Hf 0.0000 0.5000 0.7500
Hf 0.5000 0.0000 0.2500
Hf 0.5000 0.5000 0.0000
Ir 0.2054 0.2500 0.6250
Ir 0.2500 0.7054 0.8750
Ir 0.2500 0.7946 0.3750
Ir 0.2946 0.2500 0.1250
Ir 0.7054 0.7500 0.1250
Ir 0.7500 0.2054 0.3750
Ir 0.7500 0.2946 0.8750
Ir 0.7946 0.7500 0.6250

Stability ranking, top and bottom: b is the most stable and a is the least stable.

a | The following is a DFT calculation (PBE) of an optimized crystal structure of CsHf3Ir.

magnetization = 0.00 μB/f.u.

Cell lengths 5.2125, 5.2125, 5.2125 Å; angles 90.00, 90.00, 90.00 degrees
Atoms (fractional coordinates):
Cs 0.0000 0.0000 0.0000
Hf 0.0000 0.5000 0.5000
Hf 0.5000 0.0000 0.5000
Hf 0.5000 0.5000 0.0000
Ir 0.5000 0.5000 0.5000

b | The following is a DFT calculation (PBE) of an optimized crystal structure of CsHf3Ir.

magnetization = 0.00 μB/f.u.

Cell lengths 5.0870, 5.0870, 5.0870 Å; angles 90.00, 90.00, 90.00 degrees
Atoms (fractional coordinates):
Cs 0.0000 0.0000 0.0000
Hf 0.0000 0.0000 0.5000
Hf 0.0000 0.5000 0.0000
Hf 0.5000 0.0000 0.0000
Ir 0.5000 0.5000 0.5000

Stability ranking, top and bottom: a is the most stable and b is the least stable.

a | The following is a DFT calculation (PBE) of an optimized crystal structure of CsKHf3.

magnetization = 1.91 μB/f.u.

Cell lengths 5.4571, 5.4571, 5.4571 Å; angles 90.00, 90.00, 90.00 degrees
Atoms (fractional coordinates):
Cs 0.0000 0.0000 0.0000
K 0.5000 0.5000 0.5000
Hf 0.0000 0.5000 0.5000
Hf 0.5000 0.0000 0.5000
Hf 0.5000 0.5000 0.0000

b | The following is a DFT calculation (PBE) of an optimized crystal structure of CsKHf3.

magnetization = 0.00 μB/f.u.

Cell lengths 5.4764, 5.4764, 5.4764 Å; angles 90.00, 90.00, 90.00 degrees
Atoms (fractional coordinates):
Cs 0.0000 0.0000 0.0000
K 0.5000 0.5000 0.5000
Hf 0.0000 0.0000 0.5000
Hf 0.0000 0.5000 0.0000
Hf 0.5000 0.0000 0.0000

Stability ranking, top and bottom: b is the most stable and a is the least stable.